(1)
## CrFeSi2 (GGA-PBEsol)

Data for a relaxed structure of CrFeSi2.

```
CrFeSi2
1.0
4.451 0.000 0.000
0.000 4.487 0.000
0.000 -0.069 4.490
Fe Cr Si
2 2 4
direct
0.639 0.142 0.387
0.139 0.858 0.613
0.863 0.630 0.105
0.363 0.370 0.895
0.345 0.856 0.099
0.153 0.336 0.410
0.653 0.664 0.590
0.845 0.144 0.901
```

The spin magnetization is 0.1523 μB/atom. Its uncorrected formation energy is -0.480 eV/atom. As for the mass density: 6.08 Mg/m³. Its uncorrected energy is -0.599 Ry per atom.

(2)
## Cr2FeSi (GGA-PBEsol)

Data for a relaxed structure of Cr2FeSi.

```
Cr2FeSi
1.0
-0.031 2.339 1.637
-0.372 -2.148 3.061
4.166 -0.287 -2.002
Fe Cr Si
1 2 1
direct
0.000 0.500 0.000
0.750 0.750 0.501
0.250 0.250 0.499
0.500 0.000 0.000
```

The spin magnetization is 0.0002 μB/atom. Its uncorrected formation energy is -0.331 eV/atom. As for the mass density: 7.30 Mg/m³. Its uncorrected energy is -0.671 Ry per atom.

(3)
## CrFe2Si (GGA-PBEsol)

Data for a relaxed structure of CrFe2Si.

```
CrFe2Si
1.0
2.690 0.000 0.000
0.000 4.000 0.102
-1.345 -1.265 3.897
Cr Fe Si
1 2 1
direct
0.253 0.805 0.506
0.758 0.312 0.516
0.992 0.938 0.985
0.496 0.445 0.993
```

The spin magnetization is 0.0665 μB/atom. Its uncorrected formation energy is -0.253 eV/atom. As for the mass density: 7.53 Mg/m³. Its uncorrected energy is -0.642 Ry per atom.

(4)
## CrFeSi2 (GGA-PBEsol)

Data for a relaxed structure of CrFeSi2.

```
CrFeSi2
1.0
-2.522 0.665 -0.527
-0.473 -3.481 -2.133
0.209 -1.138 4.283
Si Cr Fe
2 1 1
direct
0.754 0.302 0.508
0.992 0.944 0.985
0.503 0.445 0.007
0.251 0.809 0.501
```

The spin magnetization is 0.0006 μB/atom. Its uncorrected formation energy is -0.376 eV/atom. As for the mass density: 6.17 Mg/m³. Its uncorrected energy is -0.592 Ry per atom.

(5)
## CrFe2Si (GGA-PBEsol)

Data for a relaxed structure of CrFe2Si.

```
CrFe2Si
1.0
-1.756 -0.110 1.753
2.085 -2.625 1.923
2.781 3.342 1.547
Cr Fe Si
1 2 1
direct
0.235 0.500 0.758
0.764 0.500 0.262
0.983 0.000 0.992
0.517 0.000 0.488
```

The spin magnetization is 0.6681 μB/atom. Its uncorrected formation energy is -0.140 eV/atom. As for the mass density: 7.37 Mg/m³. Its uncorrected energy is -0.633 Ry per atom.

(6)
## CrFe6Si (GGA-PBEsol)

Data for a relaxed structure of CrFe6Si.

```
CrFe6Si
1.0
6.021 0.014 0.000
-2.052 5.660 0.000
0.000 0.000 9.860
Fe Cr Si
24 4 4
direct
0.876 0.627 0.626
0.874 0.623 0.123
0.126 0.377 0.123
0.124 0.373 0.626
0.377 0.126 0.877
0.627 0.876 0.374
0.252 0.748 0.248
0.252 0.748 0.752
0.876 0.627 0.374
0.623 0.874 0.877
0.874 0.623 0.877
0.500 0.500 0.500
0.373 0.124 0.626
0.623 0.874 0.123
0.000 0.000 0.500
0.126 0.377 0.877
0.748 0.252 0.752
0.748 0.252 0.248
0.124 0.373 0.374
0.000 0.000 0.000
0.500 0.500 0.000
0.627 0.876 0.626
0.377 0.126 0.123
0.373 0.124 0.374
0.500 0.500 0.751
0.744 0.256 0.000
0.256 0.744 0.000
0.500 0.500 0.249
0.745 0.255 0.500
0.255 0.745 0.500
0.000 0.000 0.245
0.000 0.000 0.755
```

The spin magnetization is 0.8483 μB/atom. Its uncorrected formation energy is -0.136 eV/atom. As for the mass density: 8.20 Mg/m³. Its uncorrected energy is -0.651 Ry per atom.

(7)
## CrFe3Si (GGA-PBEsol)

Data for a relaxed structure of CrFe3Si.

```
CrFe3Si
1.0
-2.946 -2.279 1.777
0.173 -2.673 -3.140
2.885 -2.167 2.003
Fe Si Cr
3 1 1
direct
0.500 0.000 0.000
0.000 0.000 0.500
0.000 0.500 0.000
0.000 0.000 0.000
0.500 0.500 0.500
```

The spin magnetization is 1.7276 μB/atom. Its uncorrected formation energy is 0.977 eV/atom. As for the mass density: 5.85 Mg/m³. Its uncorrected energy is -0.558 Ry per atom.

(8)
## CrFeSi (GGA-PBEsol)

Data for a relaxed structure of CrFeSi.

```
CrFeSi
1.0
2.554 0.000 0.000
0.000 3.852 0.000
0.000 -1.926 3.336
Si Cr Fe
1 1 1
direct
0.451 0.333 0.667
0.989 0.000 0.000
0.560 0.667 0.333
```

The spin magnetization is 0.0007 μB/atom. Its uncorrected formation energy is -0.265 eV/atom. As for the mass density: 6.88 Mg/m³. Its uncorrected energy is -0.631 Ry per atom.

(9)
## SrCrFe (GGA-PBEsol)

Data for a relaxed structure of SrCrFe.

```
SrCrFe
1.0
4.769 0.000 0.000
2.385 4.130 0.000
2.385 1.377 3.894
Fe Cr Sr
1 1 1
direct
0.000 0.000 0.000
0.750 0.750 0.750
0.500 0.500 0.500
```

The calculation puts the energy of formation from the pure elements at 1.61 eV/atom. The spin magnetization is 2.4082 μB/atom. As for the mass density: 4.23 Mg/m³. Its uncorrected energy is -0.397 Ry per atom.

(10)
## SrCrFe2 (GGA-PBEsol)

Data for a relaxed structure of SrCrFe2.

```
SrCrFe2
1.0
-2.886 2.405 2.493
-4.402 -0.050 -0.971
-2.891 -2.096 2.752
Cr Sr Fe
1 1 2
direct
0.500 0.500 0.500
0.250 0.250 0.250
0.000 0.000 0.000
0.750 0.750 0.750
```

The calculation puts the energy of formation from the pure elements at 1.07 eV/atom. The spin magnetization is 0.4193 μB/atom. The value obtained for the energy above the most stable polymorph in this dataset is 468.6 meV per atom. As for the mass density: 6.44 Mg/m³. Its uncorrected energy is -0.473 Ry per atom.

(11)
## SrCrFe2 (GGA-PBEsol)

Data for a relaxed structure of SrCrFe2.

```
SrCrFe2
1.0
2.951 0.000 0.000
0.000 2.951 0.000
0.000 0.000 7.144
Fe Cr Sr
2 1 1
direct
0.000 0.000 0.335
0.000 0.000 0.665
0.500 0.500 0.500
0.500 0.500 0.000
```

The calculation puts the energy of formation from the pure elements at 0.60 eV/atom. The spin magnetization is 0.5004 μB/atom. The value obtained for the energy above the most stable polymorph in this dataset is 0.0 meV per atom. As for the mass density: 6.71 Mg/m³. Its uncorrected energy is -0.507 Ry per atom.

(12)
## Ta2CrFe (GGA-PBEsol)

Data for a relaxed structure of Ta2CrFe.

```
Ta2CrFe
1.0
-1.353 0.891 2.572
-0.419 -2.906 0.786
5.355 -0.008 2.822
Fe Cr Ta
1 1 2
direct
0.500 0.500 0.500
0.500 0.500 0.000
0.000 0.000 0.751
0.000 0.000 0.249
```

The calculation puts the energy of formation from the pure elements at -0.14 eV/atom. The spin magnetization is 0.0533 μB/atom. The value obtained for the energy above the most stable polymorph in this dataset is 4.8 meV per atom. As for the mass density: 13.95 Mg/m³. Its uncorrected energy is -0.824 Ry per atom.

> What is the formula in the fifth record?

CrFe2Si

> Among the records above, which one has the lowest spin magnetization?

Cr2FeSi